No. 1
# CeSmMgZr, relaxed, DFT GGA-PBE
data_CeSmMgZr
_chemical_formula_sum 'Ce4 Sm4 Mg4 Zr4'
_cell_length_a 7.565
_cell_length_b 7.565
_cell_length_c 7.565
_cell_angle_alpha 90.00
_cell_angle_beta 90.00
_cell_angle_gamma 90.00
_symmetry_space_group_name_H-M 'F -4 3 m'
_symmetry_Int_Tables_number 216
_symmetry_space_group_name_Hall 'F -4 2 3'
loop_
_atom_site_label
_atom_site_type_symbol
_atom_site_fract_x
_atom_site_fract_y
_atom_site_fract_z
Ce1 Ce 0.000 0.000 0.000
Sm1 Sm 0.000 0.000 0.500
Mg1 Mg 0.250 0.250 0.250
Zr1 Zr 0.250 0.250 0.750
# ρ = 6.23 Mg/m³
# Crystal system = cubic
# Formation energy = 147 meV/atom
# VASP energy = -5.0516 eV/atom
# Fermi-level density of states = 7.80 states/eV/f.u.

***

No. 2
# Ce4Mg4Sn, relaxed, DFT GGA-PBE
data_Ce4Mg4Sn
_chemical_formula_sum 'Ce8 Mg8 Sn2'
_cell_length_a 11.007
_cell_length_b 11.007
_cell_length_c 3.735
_cell_angle_alpha 90.00
_cell_angle_beta 90.00
_cell_angle_gamma 90.00
_symmetry_space_group_name_H-M 'I 4/m m m'
_symmetry_Int_Tables_number 139
_symmetry_space_group_name_Hall '-I 4 2'
loop_
_atom_site_label
_atom_site_type_symbol
_atom_site_fract_x
_atom_site_fract_y
_atom_site_fract_z
Ce1 Ce 0.184 0.184 0.000
Mg1 Mg 0.000 0.347 0.500
Sn1 Sn 0.000 0.000 0.500
# ρ = 5.70 Mg/m³
# Crystal system = tetragonal
# Formation energy = -135 meV/atom
# VASP energy = -3.9255 eV/atom
# Fermi-level density of states = 16.39 states/eV/f.u.